DFT (GGA-PBE) results for a relaxed structure of Sn2PRh.

Results
Symmetry: I-42d (122)
Energy of formation from the pure elements in eV per atom: 0.072

Cell and atoms, written as POSCAR:
```
Sn2PRh
1.0
-5.0710 -0.8353 -3.5130
-3.4125 -0.8719 5.1331
-5.2784 4.5083 1.0315
P Rh Sn
2 2 4
Direct
0.5000 0.5000 0.0000
0.2500 0.7500 0.5000
0.0000 0.0000 0.0000
0.7500 0.2500 0.5000
0.6311 0.1250 0.2500
0.1189 0.6250 0.2500
0.3750 0.3689 0.7500
0.8750 0.8811 0.7500
```

DFT (GGA-PBE) results for a relaxed structure of Sm5Dy.

Results
Symmetry: Pmmn (59)
Energy of formation from the pure elements in eV per atom: 0.015

Cell and atoms, written as POSCAR:
```
Sm5Dy
1.0
-3.3776 -2.2210 -3.1339
5.4147 -2.3212 -4.1906
0.5951 -9.1101 5.8151
Sm Dy
10 2
Direct
0.7500 0.1255 0.2500
0.2500 0.8745 0.7500
0.2500 0.8742 0.4159
0.7500 0.1258 0.9159
0.7500 0.1258 0.5841
0.2500 0.8742 0.0841
0.2500 0.3756 0.4169
0.7500 0.6244 0.9169
0.7500 0.6244 0.5831
0.2500 0.3756 0.0831
0.7500 0.6241 0.2500
0.2500 0.3759 0.7500
```